(1)
The following is a DFT calculation (PBE) of an optimized crystal structure of MoOs5.

The structure in POSCAR format:
```
MoOs5
1.0
0.602 4.677 -3.929
-4.067 -3.017 3.468
0.752 2.394 2.964
Os Mo
5 1
Direct
0.831 0.169 0.000 Os
0.668 0.332 0.500 Os
0.169 0.831 0.000 Os
0.000 0.000 0.500 Os
0.332 0.668 0.500 Os
0.500 0.500 0.000 Mo
```

Results
SG: Cmmm
energy of formation: 0.0881 eV per atom
energy above the lowest structure with this stoichiometry: 119 meV per atom

(2)
The following is a DFT calculation (PBE) of an optimized crystal structure of LiReGeI2.

The structure in POSCAR format:
```
LiReGeI2
1.0
5.235 0.000 0.000
0.000 5.183 0.000
0.000 0.000 5.235
I Li Re Ge
2 1 1 1
Direct
0.500 0.000 0.000 I
0.000 0.000 0.500 I
0.000 0.000 0.000 Li
0.000 0.500 0.000 Re
0.500 0.500 0.500 Ge
```

Results
SG: P4/mmm
ΔE_f (raw): 1.235 eV per atom

(3)
The following is a DFT calculation (PBE) of an optimized crystal structure of YCo2Ag.

The structure in POSCAR format:
```
YCo2Ag
1.0
-0.101 1.844 -3.303
-1.577 -3.130 -1.699
-5.201 0.085 0.206
Ag Co Y
1 2 1
Direct
0.500 0.775 0.824 Ag
0.000 0.184 0.008 Co
0.500 0.068 0.238 Co
0.000 0.472 0.430 Y
```

Results
SG: Amm2
energy of formation: 0.1117 eV per atom
energy above the lowest structure with this stoichiometry: 0 meV per atom

(4)
The following is a DFT calculation (PBE) of an optimized crystal structure of Nd2Er6Al.

The structure in POSCAR format:
```
Nd2Er6Al
1.0
3.474 0.000 0.226
0.000 9.337 0.000
-0.590 -4.668 8.638
Er Al Nd
6 1 2
Direct
0.001 0.011 0.678 Er
0.999 0.989 0.322 Er
0.999 0.333 0.322 Er
0.500 0.283 0.000 Er
0.500 0.717 0.000 Er
0.001 0.667 0.678 Er
0.000 0.000 0.000 Al
0.503 0.323 0.645 Nd
0.497 0.677 0.355 Nd
```

Results
SG: C2/m
energy of formation: 0.0732 eV per atom

(5)
The following is a DFT calculation (PBE) of an optimized crystal structure of TlCd2Au.

The structure in POSCAR format:
```
TlCd2Au
1.0
-0.592 2.621 4.615
2.771 -4.183 3.625
5.850 2.033 1.281
Au Tl Cd
2 2 4
Direct
0.155 0.220 0.539 Au
0.437 0.768 0.713 Au
0.557 0.677 0.234 Tl
0.614 0.261 0.826 Tl
0.111 0.458 0.086 Cd
0.988 0.686 0.584 Cd
0.093 0.978 0.025 Cd
0.694 0.138 0.363 Cd
```

Results
SG: P1
energy of formation: -0.0337 eV per atom
energy above the lowest structure with this stoichiometry: 58 meV per atom

(6)
The following is a DFT calculation (PBE) of an optimized crystal structure of Zn2TcTe.

The structure in POSCAR format:
```
Zn2TcTe
1.0
3.490 0.000 0.000
0.000 4.456 0.000
0.000 0.000 4.426
Zn Te Tc
2 1 1
Direct
0.000 0.000 0.000 Zn
0.500 0.500 0.000 Zn
0.000 0.500 0.500 Te
0.500 0.000 0.500 Tc
```

Results
SG: Pmmm
ΔE_f (raw): 0.395 eV per atom

(7)
The following is a DFT calculation (PBE) of an optimized crystal structure of Hf2FeSi.

The structure in POSCAR format:
```
Hf2FeSi
1.0
5.188 0.002 0.002
0.126 5.244 0.001
1.450 1.335 4.892
Hf Si Fe
4 2 2
Direct
0.750 0.854 0.460 Hf
0.330 0.716 0.131 Hf
0.250 0.146 0.540 Hf
0.670 0.284 0.869 Hf
0.121 0.247 0.057 Si
0.879 0.753 0.943 Si
0.733 0.385 0.349 Fe
0.267 0.615 0.651 Fe
```

Results
SG: P-1
ΔE_f (raw): -0.547 eV per atom

(8)
The following is a DFT calculation (PBE) of an optimized crystal structure of PaCF.

The structure in POSCAR format:
```
PaCF
1.0
0.240 3.175 0.983
-3.131 0.725 -1.577
-3.291 -3.084 5.116
F Pa C
2 2 2
Direct
0.752 0.750 0.003 F
0.248 0.250 0.997 F
0.609 0.250 0.718 Pa
0.391 0.750 0.282 Pa
0.932 0.250 0.364 C
0.068 0.750 0.636 C
```

Results
SG: Cmcm
ΔE_f (raw): -1.407 eV per atom
energy above the lowest structure with this stoichiometry: 397 meV per atom

(9)
The following is a DFT calculation (PBE) of an optimized crystal structure of Pm2Zn6Ga3.

The structure in POSCAR format:
```
Pm2Zn6Ga3
1.0
-1.170 -0.963 -3.803
5.335 -5.541 -0.239
-7.077 -1.581 2.578
Ga Zn Pm
3 6 2
Direct
0.500 0.620 0.000 Ga
0.500 0.000 0.620 Ga
0.500 0.380 0.380 Ga
0.500 0.000 0.289 Zn
0.500 0.289 0.000 Zn
0.000 0.000 0.810 Zn
0.500 0.711 0.711 Zn
0.000 0.810 0.000 Zn
0.000 0.190 0.190 Zn
0.000 0.667 0.333 Pm
0.000 0.333 0.667 Pm
```

Results
SG: P-62m
energy of formation: -0.3627 eV per atom

(10)
The following is a DFT calculation (PBE) of an optimized crystal structure of Tl5In5Sn.

The structure in POSCAR format:
```
Tl5In5Sn
1.0
-4.037 -3.479 -1.993
6.670 -4.117 -6.324
3.641 -2.368 4.881
In Sn Tl
5 1 5
Direct
0.249 0.906 0.498 In
0.751 0.094 0.502 In
0.835 0.768 0.671 In
0.500 0.000 0.000 In
0.165 0.232 0.329 In
0.000 0.000 0.000 Sn
0.275 0.593 0.551 Tl
0.561 0.690 0.122 Tl
0.439 0.310 0.878 Tl
0.000 0.500 0.000 Tl
0.725 0.407 0.449 Tl
```

Results
SG: C2/m
energy of formation: 0.0733 eV per atom

(11)
The following is a DFT calculation (PBE) of an optimized crystal structure of PH4Se.

The structure in POSCAR format:
```
PH4Se
1.0
7.719 -2.381 4.480
1.284 2.371 3.869
2.758 -0.548 6.964
H P Se
4 1 1
Direct
0.196 0.646 0.534 H
0.473 0.060 0.260 H
0.903 0.020 0.341 H
0.582 0.707 0.125 H
0.468 0.086 0.062 P
0.889 0.997 0.170 Se
```

Results
SG: P1
energy above the lowest structure with this stoichiometry: 88 meV per atom

(12)
The following is a DFT calculation (PBE) of an optimized crystal structure of DyScF.

The structure in POSCAR format:
```
DyScF
1.0
3.543 -0.594 -0.056
0.858 5.110 0.143
0.131 0.100 7.176
Dy F Sc
2 2 2
Direct
0.356 0.639 0.036 Dy
0.856 0.153 0.307 Dy
0.856 0.920 0.044 F
0.856 0.418 0.553 F
0.856 0.162 0.796 Sc
0.356 0.660 0.563 Sc
```

Results
SG: Pm
ΔE_f (raw): -1.577 eV per atom

Number 1: calculated volume 87.5 Å³/cell, total magnetic moment 0.0000 μB/atom, raw total energy -11.075 eV/atom. Number 2: calculated volume 142.0 Å³/cell, total magnetic moment 0.8042 μB/atom, raw total energy -3.181 eV/atom. Number 3: calculated volume 71.2 Å³/cell, total magnetic moment 0.5308 μB/atom, raw total energy -5.770 eV/atom. Number 4: calculated volume 281.4 Å³/cell, total magnetic moment 0.0000 μB/atom, raw total energy -4.444 eV/atom. Number 5: calculated volume 192.8 Å³/cell, total magnetic moment 0.0000 μB/atom, raw total energy -1.902 eV/atom. Number 6: calculated volume 68.8 Å³/cell, total magnetic moment 0.0587 μB/atom, raw total energy -3.619 eV/atom. Number 7: calculated volume 133.1 Å³/cell, total magnetic moment 0.0001 μB/atom, raw total energy -8.995 eV/atom. Number 8: calculated volume 78.9 Å³/cell, total magnetic moment 0.0000 μB/atom, raw total energy -8.271 eV/atom. Number 9: calculated volume 210.0 Å³/cell, total magnetic moment 0.0000 μB/atom, raw total energy -2.747 eV/atom. Number 10: calculated volume 336.6 Å³/cell, total magnetic moment 0.0000 μB/atom, raw total energy -2.611 eV/atom. Number 11: calculated volume 107.2 Å³/cell, total magnetic moment 0.0000 μB/atom, raw total energy -3.652 eV/atom. Number 12: calculated volume 133.5 Å³/cell, total magnetic moment 0.0000 μB/atom, raw total energy -5.845 eV/atom.